{"formula": "NaSb3N", "functional": "SCAN", "state": "single point on PBEsol structure", "lattice_angstrom": [[4.782, 0.000, 0.000], [0.000, 4.782, 0.000], [0.000, 0.000, 4.782]], "species": ["Na", "Sb", "Sb", "Sb", "N"], "fractional_positions": [[0.000, 0.000, 0.000], [0.000, 0.500, 0.500], [0.500, 0.000, 0.500], [0.500, 0.500, 0.000], [0.500, 0.500, 0.500]], "raw_formation_energy_ev_per_atom": 0.481, "vol_a3_per_fu": 109, "final_energy_ev_per_cell": -122.89}

=====

{"formula": "SiGe3Cl", "functional": "SCAN", "state": "single point on PBEsol structure", "lattice_angstrom": [[4.806, 0.000, 0.000], [0.000, 4.806, 0.000], [0.000, 0.000, 4.806]], "species": ["Si", "Ge", "Ge", "Ge", "Cl"], "fractional_positions": [[0.000, 0.000, 0.000], [0.000, 0.000, 0.500], [0.000, 0.500, 0.000], [0.500, 0.000, 0.000], [0.500, 0.500, 0.500]], "raw_formation_energy_ev_per_atom": 0.665, "vol_a3_per_fu": 111, "final_energy_ev_per_cell": -71.93}

=====

{"formula": "Li2AlAg", "functional": "SCAN", "state": "single point on PBEsol structure", "lattice_angstrom": [[2.768, 0.000, 0.000], [0.000, 4.036, 0.000], [0.000, 0.000, 5.673]], "species": ["Li", "Li", "Al", "Ag"], "fractional_positions": [[0.000, 0.000, 0.000], [0.500, 0.500, 0.258], [0.500, 0.500, 0.739], [0.000, 0.000, 0.512]], "vol_a3_per_fu": 63, "final_energy_ev_per_cell": -44.61}